No. 1
Here is a relaxed Cu2TcPb crystal from Alexandria via LeMat-Bulk. Energies are from PBEsol.

Lattice parameters (Å, degrees): 2.902 3.775 5.652 90.00 89.93 90.00
Sites, in units of the cell vectors:
Tc1 0.500 0.500 0.500
Pb1 0.500 0.500 0.000
Cu1 0.000 0.000 0.288
Cu2 0.000 0.000 0.712

Total magnetic moment ... 0.00 μB/f.u.
V ... 61.9 Å³ per cell
N(E_F) ... 0.810 states/eV/atom
Energy ... -21.9 eV per formula unit
Space-group type ... P2/m, No. 10


No. 2
Here is a relaxed YCo2Cu crystal from Alexandria via LeMat-Bulk. Energies are from PBEsol.

Lattice parameters (Å, degrees): 3.163 3.163 5.818 90.00 90.00 90.00
Sites, in units of the cell vectors:
Co1 0.000 0.000 0.807
Co2 0.000 0.000 0.193
Cu1 0.500 0.500 0.000
Y1 0.500 0.500 0.500

Total magnetic moment ... 2.20 μB/f.u.
V ... 58.2 Å³ per cell
N(E_F) ... 1.426 states/eV/atom
Energy ... -25.9 eV per formula unit
Offset from the most stable computed form ... 278 meV per atom
Space-group type ... P4/mmm, No. 123


No. 3
Here is a relaxed K2TbF6 crystal from Alexandria via LeMat-Bulk. Energies are from PBEsol.

Lattice parameters (Å, degrees): 6.562 6.562 7.261 90.81 90.81 117.43
Sites, in units of the cell vectors:
F1 0.295 0.326 0.209
F2 0.989 0.597 0.221
F3 0.845 0.059 0.044
F4 0.674 0.705 0.291
F5 0.059 0.845 0.544
F6 0.326 0.295 0.709
F7 0.597 0.989 0.721
F8 0.155 0.941 0.956
F9 0.941 0.155 0.456
F10 0.403 0.011 0.279
F11 0.011 0.403 0.779
F12 0.705 0.674 0.791
Tb1 0.960 0.040 0.750
Tb2 0.040 0.960 0.250
K1 0.689 0.368 0.502
K2 0.368 0.689 0.002
K3 0.311 0.632 0.498
K4 0.632 0.311 0.998

Total magnetic moment ... 1.04 μB/f.u.
V ... 277.4 Å³ per cell
N(E_F) ... 0.940 states/eV/atom
ΔE_f (raw) ... -3093 meV per atom
Energy ... -46.7 eV per formula unit
Space-group type ... C2/c, No. 15


No. 4
Here is a relaxed CaY2Cl crystal from Alexandria via LeMat-Bulk. Energies are from PBEsol.

Lattice parameters (Å, degrees): 4.608 4.608 6.425 111.02 111.02 90.00
Sites, in units of the cell vectors:
Ca1 0.500 0.500 0.000
Y1 0.750 0.250 0.500
Y2 0.000 0.000 0.000
Cl1 0.250 0.750 0.500

Total magnetic moment ... 1.43 μB/f.u.
V ... 117.6 Å³ per cell
N(E_F) ... 1.530 states/eV/atom
ΔE_f (raw) ... -48 meV per atom
Energy ... -18.0 eV per formula unit
Offset from the most stable computed form ... 424 meV per atom
Space-group type ... I-4m2, No. 119


- Which formula does entry 2 have?
  YCo2Cu